Here is an optimized crystal structure of NaAcYPb from the Alexandria database. Energies are from PBE.

The space group is F-43m, No. 216. For the density of states at the Fermi level, the calculation gives 3.44 states/eV per cell. As for the energy relative to the elements: -0.160 eV/atom.

abc: 5.675 5.675 5.675
angles: 60.00 60.00 60.00
Fractional positions:
Ac 0.250 0.250 0.250
Pb 0.500 0.500 0.500
Na 0.000 0.000 0.000
Y 0.750 0.750 0.750